HfHgPb PBE optimized geometry; DOS at the Fermi energy = 1.81 states/eV per cell; ΔE to the lowest computed polymorph = 22 kJ/mol of formula units; calculated total energy = -4.445 eV/atom; symmetry = P3m1, No. 156; size of the total moment = 0.0000 μB/atom
1.0
-1.9343 1.6220 2.2466
-1.1657 -4.3576 2.1425
3.9823 2.5697 1.5735
Pb Hf Hg
1 1 1
direct
0.6797 0.3333 0.6667
0.2619 0.6667 0.3333
0.0584 0.0000 0.0000


CaPmNd2Tl4 PBE optimized geometry; DOS at the Fermi energy = 5.30 states/eV per cell; calculated total energy = -3.616 eV/atom; symmetry = R-3m, No. 166; size of the total moment = 0.0000 μB/atom
1.0
5.4923 0.0000 0.0000
2.7461 4.7565 0.0000
2.7461 1.5855 9.0561
Ca Pm Nd Tl
1 1 2 4
direct
0.0000 0.0000 0.0000
0.5000 0.5000 0.5000
0.7459 0.7459 0.7622
0.2541 0.2541 0.2378
0.3766 0.3766 0.8703
0.8736 0.8736 0.3792
0.1264 0.1264 0.6208
0.6234 0.6234 0.1297


Ti5PdRu4 PBE optimized geometry; DOS at the Fermi energy = 7.97 states/eV per cell; calculated total energy = -8.871 eV/atom; symmetry = P4/mmm, No. 123; size of the total moment = 0.0000 μB/atom
1.0
3.0833 0.0000 0.0000
0.0000 3.0833 0.0000
0.0000 0.0000 15.6500
Ti Pd Ru
5 1 4
direct
0.5000 0.5000 0.1078
0.5000 0.5000 0.3033
0.5000 0.5000 0.5000
0.5000 0.5000 0.6967
0.5000 0.5000 0.8922
0.0000 0.0000 0.0000
0.0000 0.0000 0.2038
0.0000 0.0000 0.4016
0.0000 0.0000 0.5984
0.0000 0.0000 0.7962


Rb11TlAu2 PBE optimized geometry; DOS at the Fermi energy = 11.64 states/eV per cell; calculated total energy = -1.456 eV/atom; symmetry = Ibam, No. 72; size of the total moment = 0.0000 μB/atom
1.0
11.9144 0.0000 6.2102
5.4797 12.3797 4.0211
0.2156 -0.1407 14.1205
Rb Tl Au
22 2 4
direct
0.6512 0.6859 0.5709
0.3488 0.3141 0.4291
0.0920 0.5709 0.6859
0.8488 0.9291 0.8141
0.9080 0.4291 0.3141
0.1512 0.0709 0.1859
0.4080 0.8141 0.9291
0.5920 0.1859 0.0709
0.5000 0.5000 0.5000
0.0000 0.0000 0.0000
0.8731 0.7787 0.2213
0.1269 0.2213 0.7787
0.6269 0.2787 0.7213
0.3731 0.7213 0.2787
0.4545 0.9587 0.3481
0.5455 0.0413 0.6519
0.2388 0.3481 0.9587
0.0455 0.1519 0.5413
0.7612 0.6519 0.0413
0.9545 0.8481 0.4587
0.2612 0.5413 0.1519
0.7388 0.4587 0.8481
0.7500 0.7500 0.7500
0.2500 0.2500 0.2500
0.6431 0.6770 0.3230
0.3569 0.3230 0.6770
0.8569 0.1770 0.8230
0.1431 0.8230 0.1770